(one)
{
  "formula": "RbTl3Bi",
  "functional": "PBE-GGA",
  "state": "relaxed",
  "vol_a3_per_atom": 38.40,
  "lattice_angstrom": [[4.845, 0.000, 0.000], [0.000, 11.090, 0.000], [0.000, 0.000, 14.291]],
  "species": ["Rb", "Rb", "Rb", "Rb", "Tl", "Tl", "Tl", "Tl", "Tl", "Tl", "Tl", "Tl", "Tl", "Tl", "Tl", "Tl", "Bi", "Bi", "Bi", "Bi"],
  "frac_coords": [[0.750, 0.809, 0.005], [0.250, 0.691, 0.505], [0.750, 0.309, 0.495], [0.250, 0.191, 0.995], [0.250, 0.572, 0.103], [0.750, 0.428, 0.897], [0.250, 0.072, 0.397], [0.750, 0.928, 0.603], [0.250, 0.419, 0.697], [0.750, 0.081, 0.197], [0.250, 0.919, 0.803], [0.750, 0.653, 0.712], [0.250, 0.347, 0.288], [0.750, 0.153, 0.788], [0.750, 0.581, 0.303], [0.250, 0.847, 0.212], [0.250, 0.124, 0.636], [0.250, 0.624, 0.864], [0.750, 0.376, 0.136], [0.750, 0.876, 0.364]]
}

***

(two)
{
  "formula": "RbTl3Bi",
  "functional": "PBE-GGA",
  "state": "relaxed",
  "vol_a3_per_atom": 47.83,
  "lattice_angstrom": [[-0.164, 6.118, 1.035], [-3.535, -0.943, 5.015], [5.100, -0.457, 3.509]],
  "species": ["Tl", "Tl", "Tl", "Bi", "Rb"],
  "frac_coords": [[0.000, 0.500, 0.000], [0.000, 0.000, 0.500], [0.500, 0.000, 0.000], [0.500, 0.500, 0.500], [0.000, 0.000, 0.000]]
}

***

(three)
{
  "formula": "RbTl3Bi",
  "functional": "PBE-GGA",
  "state": "relaxed",
  "vol_a3_per_atom": 48.96,
  "lattice_angstrom": [[6.256, 0.000, 0.000], [0.000, 6.256, 0.000], [0.000, 0.000, 6.256]],
  "species": ["Tl", "Tl", "Tl", "Bi", "Rb"],
  "frac_coords": [[0.000, 0.500, 0.000], [0.000, 0.000, 0.500], [0.500, 0.000, 0.000], [0.000, 0.000, 0.000], [0.500, 0.500, 0.500]]
}

***

Which one sits at the top of the stability order? (one) does.

***

(one)
{
  "formula": "RbTl2Bi",
  "functional": "PBE-GGA",
  "state": "relaxed",
  "vol_a3_per_atom": 38.72,
  "lattice_angstrom": [[5.277, 0.000, 0.000], [-2.638, 6.527, 0.000], [0.000, 0.000, 8.995]],
  "species": ["Rb", "Rb", "Tl", "Tl", "Tl", "Tl", "Bi", "Bi"],
  "frac_coords": [[0.924, 0.849, 0.250], [0.076, 0.151, 0.750], [0.365, 0.731, 0.950], [0.635, 0.269, 0.050], [0.635, 0.269, 0.450], [0.365, 0.731, 0.550], [0.211, 0.421, 0.250], [0.789, 0.579, 0.750]]
}

***

(two)
{
  "formula": "RbTl2Bi",
  "functional": "PBE-GGA",
  "state": "relaxed",
  "vol_a3_per_atom": 42.32,
  "lattice_angstrom": [[5.539, 0.000, 0.000], [2.769, 4.797, 0.000], [2.769, 1.599, 6.372]],
  "species": ["Rb", "Tl", "Tl", "Bi"],
  "frac_coords": [[0.491, 0.491, 0.527], [0.039, 0.039, 0.882], [0.278, 0.278, 0.166], [0.692, 0.692, 0.925]]
}

***

Which one sits at the top of the stability order? (one) does.

***

(one)
{
  "formula": "RbTl2Bi",
  "functional": "PBE-GGA",
  "state": "relaxed",
  "vol_a3_per_atom": 35.58,
  "lattice_angstrom": [[-0.049, -4.751, -3.430], [-4.981, -1.704, -2.575], [-0.649, 0.577, -5.796]],
  "species": ["Tl", "Tl", "Bi", "Rb"],
  "frac_coords": [[0.250, 0.250, 0.250], [0.750, 0.750, 0.750], [0.500, 0.500, 0.500], [0.000, 0.000, 0.000]]
}

***

(two)
{
  "formula": "RbTl2Bi",
  "functional": "PBE-GGA",
  "state": "relaxed",
  "vol_a3_per_atom": 35.60,
  "lattice_angstrom": [[5.164, 0.000, 0.000], [0.000, 5.252, 0.000], [0.000, 0.000, 5.252]],
  "species": ["Tl", "Tl", "Bi", "Rb"],
  "frac_coords": [[0.000, 0.000, 0.500], [0.000, 0.500, 0.000], [0.500, 0.500, 0.500], [0.500, 0.000, 0.000]]
}

***

Which one sits at the top of the stability order? (one) does.

***

(one)
{
  "formula": "RbTl2Bi",
  "functional": "PBE-GGA",
  "state": "relaxed",
  "vol_a3_per_atom": 36.72,
  "lattice_angstrom": [[4.219, 0.000, 0.000], [0.000, 4.219, 0.000], [0.000, 0.000, 8.251]],
  "species": ["Tl", "Tl", "Bi", "Rb"],
  "frac_coords": [[0.000, 0.000, 0.799], [0.000, 0.000, 0.201], [0.500, 0.500, 0.000], [0.500, 0.500, 0.500]]
}

***

(two)
{
  "formula": "RbTl2Bi",
  "functional": "PBE-GGA",
  "state": "relaxed",
  "vol_a3_per_atom": 41.53,
  "lattice_angstrom": [[-2.003, -3.612, -8.609], [7.485, -5.884, 0.727], [0.611, -7.265, -2.389]],
  "species": ["Tl", "Tl", "Tl", "Tl", "Bi", "Bi", "Rb", "Rb"],
  "frac_coords": [[0.678, 0.125, 0.250], [0.072, 0.625, 0.250], [0.375, 0.322, 0.750], [0.875, 0.928, 0.750], [0.000, 0.000, 0.000], [0.750, 0.250, 0.500], [0.500, 0.500, 0.000], [0.250, 0.750, 0.500]]
}

***

Which one sits at the top of the stability order? (one) does.

***

(one)
{
  "formula": "Rb3TlBi",
  "functional": "PBE-GGA",
  "state": "relaxed",
  "vol_a3_per_atom": 73.91,
  "lattice_angstrom": [[7.176, 0.000, 0.000], [0.000, 7.176, 0.000], [0.000, 0.000, 7.176]],
  "species": ["Tl", "Bi", "Rb", "Rb", "Rb"],
  "frac_coords": [[0.500, 0.500, 0.500], [0.000, 0.000, 0.000], [0.000, 0.500, 0.000], [0.000, 0.000, 0.500], [0.500, 0.000, 0.000]]
}

***

(two)
{
  "formula": "Rb3TlBi",
  "functional": "PBE-GGA",
  "state": "relaxed",
  "vol_a3_per_atom": 56.00,
  "lattice_angstrom": [[9.122, 0.624, 0.032], [-3.934, 8.254, -0.032], [-4.603, -3.265, 7.194]],
  "species": ["Rb", "Rb", "Rb", "Rb", "Rb", "Rb", "Tl", "Tl", "Bi", "Bi"],
  "frac_coords": [[0.941, 0.174, 0.694], [0.941, 0.748, 0.267], [0.480, 0.674, 0.733], [0.957, 0.242, 0.215], [0.480, 0.248, 0.306], [0.026, 0.742, 0.785], [0.404, 0.100, 0.804], [0.296, 0.600, 0.196], [0.554, 0.895, 0.158], [0.737, 0.395, 0.842]]
}

***

Which one sits at the top of the stability order? (two) does.

***

(one)
{
  "formula": "Rb3Tl8Bi3",
  "functional": "PBE-GGA",
  "state": "relaxed",
  "vol_a3_per_atom": 37.16,
  "lattice_angstrom": [[-1.721, -5.006, -1.202], [-2.765, -4.161, 9.032], [-10.290, 0.429, 0.689]],
  "species": ["Rb", "Rb", "Rb", "Tl", "Tl", "Tl", "Tl", "Tl", "Tl", "Tl", "Tl", "Bi", "Bi", "Bi"],
  "frac_coords": [[0.500, 0.500, 0.500], [0.809, 0.191, 0.191], [0.191, 0.809, 0.809], [0.634, 0.087, 0.646], [0.366, 0.913, 0.354], [0.634, 0.646, 0.087], [0.366, 0.354, 0.913], [0.833, 0.805, 0.529], [0.167, 0.195, 0.471], [0.833, 0.529, 0.805], [0.167, 0.471, 0.195], [0.500, 0.000, 0.000], [0.000, 0.802, 0.198], [0.000, 0.198, 0.802]]
}

***

(two)
{
  "formula": "Rb3Tl8Bi3",
  "functional": "PBE-GGA",
  "state": "relaxed",
  "vol_a3_per_atom": 37.03,
  "lattice_angstrom": [[-1.983, -4.313, -2.909], [-4.905, -5.961, 6.854], [-10.113, 1.406, -0.519]],
  "species": ["Rb", "Rb", "Rb", "Tl", "Tl", "Tl", "Tl", "Tl", "Tl", "Tl", "Tl", "Bi", "Bi", "Bi"],
  "frac_coords": [[0.300, 0.690, 0.709], [0.700, 0.310, 0.291], [0.000, 0.000, 0.000], [0.138, 0.150, 0.575], [0.862, 0.850, 0.425], [0.850, 0.433, 0.868], [0.150, 0.567, 0.132], [0.498, 0.685, 0.318], [0.502, 0.315, 0.682], [0.329, 0.026, 0.317], [0.671, 0.974, 0.683], [0.000, 0.500, 0.500], [0.652, 0.719, 0.978], [0.348, 0.281, 0.022]]
}

***

Which one sits at the top of the stability order? (two) does.